No. 1
Re2AsAu | PBE | relaxed

## Properties
Crystal system ... orthorhombic
Calculated total energy ... -7.776 eV/atom
Energy of formation ... 430 meV/atom

Cell: 2.960 3.791 5.911 Å, 90.00 90.00 90.00°
Positions (direct):
Re 0.000 0.000 0.000
Re 0.500 0.500 0.192
As 0.000 0.000 0.431
Au 0.500 0.500 0.722



No. 2
ReAsAu3 | PBE | relaxed

## Properties
Crystal system ... cubic
Calculated total energy ... -3.896 eV/atom
Energy of formation ... 1490 meV/atom

Cell: 5.003 5.003 5.003 Å, 90.00 90.00 90.00°
Positions (direct):
Re 0.000 0.000 0.000
As 0.500 0.500 0.500
Au 0.000 0.000 0.500
Au 0.000 0.500 0.000
Au 0.500 0.000 0.000